[1]
# SmAs4Pd12 | Alexandria via LeMat-Bulk | GGA-PBE | optimized geometry
# D(E_F) (states/eV per atom): 0.211
# Calculated total energy (eV per atom): -5.32
data_SmAs4Pd12
_chemical_formula_sum 'Sm2 As8 Pd24'
_cell_length_a 8.579
_cell_length_b 8.579
_cell_length_c 8.579
_cell_angle_alpha 90.00
_cell_angle_beta 90.00
_cell_angle_gamma 90.00
_symmetry_space_group_name_H-M 'I m -3'
_symmetry_Int_Tables_number 204
_symmetry_space_group_name_Hall '-I 2 2 3'
loop_
_atom_site_label
_atom_site_fract_x
_atom_site_fract_y
_atom_site_fract_z
Sm1 0.000 0.000 0.000
As1 0.250 0.250 0.250
Pd1 0.000 0.163 0.341

***

[2]
# Sm2As6Pd21 | Alexandria via LeMat-Bulk | GGA-PBE | optimized geometry
# D(E_F) (states/eV per atom): 0.359
# Calculated total energy (eV per atom): -5.56
data_Sm2As6Pd21
_chemical_formula_sum 'Sm8 As24 Pd84'
_cell_length_a 12.524
_cell_length_b 12.524
_cell_length_c 12.524
_cell_angle_alpha 90.00
_cell_angle_beta 90.00
_cell_angle_gamma 90.00
_symmetry_space_group_name_H-M 'F m -3 m'
_symmetry_Int_Tables_number 225
_symmetry_space_group_name_Hall '-F 4 2 3'
loop_
_atom_site_label
_atom_site_fract_x
_atom_site_fract_y
_atom_site_fract_z
Sm1 0.250 0.250 0.250
As1 0.000 0.000 0.239
Pd1 0.000 0.000 0.500
Pd2 0.000 0.174 0.326
Pd3 0.116 0.116 0.116

***

[3]
# SmAsPd | Alexandria via LeMat-Bulk | GGA-PBE | optimized geometry
# D(E_F) (states/eV per atom): 0.395
# Calculated total energy (eV per atom): -6.03
data_SmAsPd
_chemical_formula_sum 'Sm2 As2 Pd2'
_cell_length_a 4.3665
_cell_length_b 4.3665
_cell_length_c 7.7020
_cell_angle_alpha 90.00
_cell_angle_beta 90.00
_cell_angle_gamma 120.00
_symmetry_space_group_name_H-M 'P 63/m m c'
_symmetry_Int_Tables_number 194
_symmetry_space_group_name_Hall '-P 6c 2c'
loop_
_atom_site_label
_atom_site_fract_x
_atom_site_fract_y
_atom_site_fract_z
Sm1 0.0000 0.0000 0.0000
As1 0.3333 0.6667 0.2500
Pd1 0.3333 0.6667 0.7500

***

[4]
# SmAs3Pd | Alexandria via LeMat-Bulk | GGA-PBE | optimized geometry
# D(E_F) (states/eV per atom): 0.331
# Calculated total energy (eV per atom): -5.47
data_SmAs3Pd
_chemical_formula_sum 'Sm4 As12 Pd4'
_cell_length_a 12.328
_cell_length_b 5.706
_cell_length_c 5.828
_cell_angle_alpha 90.00
_cell_angle_beta 90.00
_cell_angle_gamma 90.00
_symmetry_space_group_name_H-M 'P b c m'
_symmetry_Int_Tables_number 57
loop_
_symmetry_equiv_pos_as_xyz
'x,y,z'
'-x,-y,-z'
'-x,-y,z+1/2'
'x,y,-z+1/2'
'x,-y+1/2,-z'
'-x,y+1/2,z'
'-x,y+1/2,-z+1/2'
'x,-y+1/2,z+1/2'
loop_
_atom_site_label
_atom_site_fract_x
_atom_site_fract_y
_atom_site_fract_z
Sm1 0.188 0.000 0.250
As1 0.002 0.250 0.000
As2 0.271 0.509 0.250
As3 0.428 0.636 0.750
Pd1 0.411 0.250 0.000

***

[5]
# SmAs2Pd4 | Alexandria via LeMat-Bulk | GGA-PBE | optimized geometry
# E above lowest polymorph (eV per atom): 0.0000
# D(E_F) (states/eV per atom): 0.418
# Calculated total energy (eV per atom): -5.72
data_SmAs2Pd4
_chemical_formula_sum 'Sm2 As4 Pd8'
_cell_length_a 7.788
_cell_length_b 7.788
_cell_length_c 4.087
_cell_angle_alpha 90.00
_cell_angle_beta 90.00
_cell_angle_gamma 90.00
_symmetry_space_group_name_H-M 'P 42/m n m'
_symmetry_Int_Tables_number 136
_symmetry_space_group_name_Hall '-P 4n 2n'
loop_
_atom_site_label
_atom_site_fract_x
_atom_site_fract_y
_atom_site_fract_z
Sm1 0.000 0.000 0.000
As1 0.220 0.220 0.500
Pd1 0.088 0.661 0.500

***

[6]
# Sm2As7Pd12 | Alexandria via LeMat-Bulk | GGA-PBE | optimized geometry
# D(E_F) (states/eV per atom): 0.514
# Calculated total energy (eV per atom): -5.59
data_Sm2As7Pd12
_chemical_formula_sum 'Sm2 As7 Pd12'
_cell_length_a 10.1073
_cell_length_b 10.1073
_cell_length_c 4.1320
_cell_angle_alpha 90.00
_cell_angle_beta 90.00
_cell_angle_gamma 120.00
_symmetry_space_group_name_H-M 'P -3'
_symmetry_Int_Tables_number 147
loop_
_symmetry_equiv_pos_as_xyz
'x,y,z'
'-x,-y,-z'
'-y,x-y,z'
'y,-x+y,-z'
'-x+y,-x,z'
'x-y,x,-z'
loop_
_atom_site_label
_atom_site_fract_x
_atom_site_fract_y
_atom_site_fract_z
Sm1 0.3333 0.6667 0.2482
As1 0.0000 0.0000 0.5000
As2 0.1177 0.4107 0.7451
Pd1 0.0592 0.6214 0.7466
Pd2 0.1113 0.8577 0.2287

***

[7]
# Sm3As5Pd6 | Alexandria via LeMat-Bulk | GGA-PBE | optimized geometry
# D(E_F) (states/eV per atom): 0.568
# Calculated total energy (eV per atom): -5.80
data_Sm3As5Pd6
_chemical_formula_sum 'Sm6 As10 Pd12'
_cell_length_a 4.176
_cell_length_b 12.808
_cell_length_c 10.011
_cell_angle_alpha 90.00
_cell_angle_beta 90.00
_cell_angle_gamma 90.00
_symmetry_space_group_name_H-M 'P m m n'
_symmetry_Int_Tables_number 59
loop_
_symmetry_equiv_pos_as_xyz
'x,y,z'
'-x,-y,-z'
'-x+1/2,-y+1/2,z'
'x+1/2,y+1/2,-z'
'x+1/2,-y,-z'
'-x+1/2,y,z'
'-x,y+1/2,-z'
'x,-y+1/2,z'
loop_
_atom_site_label
_atom_site_fract_x
_atom_site_fract_y
_atom_site_fract_z
Sm1 0.250 0.083 0.245
Sm2 0.250 0.750 0.254
As1 0.250 0.086 0.851
As2 0.250 0.626 0.527
As3 0.250 0.750 0.844
Pd1 0.250 0.063 0.605
Pd2 0.250 0.250 0.001
Pd3 0.250 0.250 0.470
Pd4 0.250 0.582 0.998

***

[8]
# SmAs3Pd3 | Alexandria via LeMat-Bulk | GGA-PBE | optimized geometry
# D(E_F) (states/eV per atom): 0.642
# Calculated total energy (eV per atom): -5.20
data_SmAs3Pd3
_chemical_formula_sum 'Sm2 As6 Pd6'
_cell_length_a 6.826
_cell_length_b 6.826
_cell_length_c 6.826
_cell_angle_alpha 90.00
_cell_angle_beta 90.00
_cell_angle_gamma 90.00
_symmetry_space_group_name_H-M 'P m -3 n'
_symmetry_Int_Tables_number 223
_symmetry_space_group_name_Hall '-P 4n 2 3'
loop_
_atom_site_label
_atom_site_fract_x
_atom_site_fract_y
_atom_site_fract_z
Sm1 0.000 0.000 0.000
As1 0.000 0.250 0.500
Pd1 0.000 0.500 0.250